[1]
Density functional theory data (PBE) for TmThAgIr after structural relaxation.

Cell lengths 5.0598, 5.0598, 5.0598 Å; angles 60.00, 60.00, 60.00 degrees
Closest atoms and distances in Å follow each position.
Element x y z (fractional)
Tm  0.7500  0.7500  0.7500  4 Ag 3.10, 4 Ir 3.10
Th  0.2500  0.2500  0.2500  4 Ir 3.10, 4 Ag 3.10
Ir  0.5000  0.5000  0.5000  4 Tm 3.10, 4 Th 3.10
Ag  0.0000  0.0000  0.0000  4 Th 3.10, 4 Tm 3.10

Calculated values
space-group type	F-43m (216)
volume	22.9	Å³ per atom
ΔH_f (0 K)	-2.08	eV/f.u.

[2]
Density functional theory data (PBE) for LaGeBr2 after structural relaxation.

Cell lengths 10.6609, 10.6609, 10.6609 Å; angles 20.31, 20.31, 20.31 degrees
Closest atoms and distances in Å follow each position.
Element x y z (fractional)
Br  0.9087  0.9087  0.9087  1 La 2.86
La  0.0000  0.0000  0.0000  2 Br 2.86
Br  0.0913  0.0913  0.0913  1 La 2.86
Ge  0.5000  0.5000  0.5000  6 Br 3.21

Calculated values
space-group type	R-3m (166)
volume	31.9	Å³ per atom
ΔE_f (raw)	-33	kJ per mole of atoms

[3]
Density functional theory data (PBE) for Ru5C4 after structural relaxation.

Cell lengths 7.2021, 7.2021, 7.2021 Å; angles 91.97, 91.97, 158.61 degrees
Closest atoms and distances in Å follow each position.
Element x y z (fractional)
Ru  0.3360  0.3360  0.6720  4 C 2.16
C  0.7951  0.0000  0.7951  5 Ru 2.05-2.16
Ru  0.6640  0.3360  0.0000  4 C 2.16
C  0.0000  0.7951  0.7951  5 Ru 2.05-2.16
Ru  0.0000  0.0000  0.0000  4 C 2.05
Ru  0.3360  0.6640  0.0000  4 C 2.16
C  0.2049  0.0000  0.2049  5 Ru 2.05-2.16
Ru  0.6640  0.6640  0.3280  4 C 2.16
C  0.0000  0.2049  0.2049  5 Ru 2.05-2.16

Calculated values
space-group type	I4/mmm (139)
volume	14.9	Å³ per atom
ΔH_f (0 K)	9.65	eV/f.u.

Question: The highest volume belongs to which entry?
Answer: LaGeBr2